Density functional theory data (PBEsol) for crystalline MgAsCl2 at its relaxed geometry.

Unit cell a=3.0311 b=3.0311 c=10.7456 alpha=90.00 beta=90.00 gamma=90.00
Fractional positions:
Mg 0.0000 0.0000 0.0000
As 0.0000 0.0000 0.5000
Cl 0.5000 0.5000 0.1401
Cl 0.5000 0.5000 0.8599

Results
* excess energy over the best structure of this formula in the dataset: 0.00 eV per formula unit
* energy relative to the elements, uncorrected: -2.71 eV/f.u.
* magnetic moment: 0.0 μB per cell
* volume: 24.7 A^3/atom
* calculated total energy: -3.39 eV per atom
* N(E_F): 1.39 states/eV/f.u.